Entry 1:
ThGa3NiOs: relaxed, PBE.

For the density of states at the Fermi level, the calculation gives 8.3 states/eV/cell. The crystal system is orthorhombic. The formation energy comes out at -16 kJ per mole of atoms. For the total energy, the calculation gives -5.751 eV per atom.

Unit cell a=6.433 b=6.433 c=6.026 alpha=90.00 beta=90.00 gamma=107.57
Fractional coordinates of all 12 atoms:
Th (0.242, 0.758, 0.750)
Th (0.758, 0.242, 0.250)
Ga (0.261, 0.261, 0.000)
Ga (0.261, 0.261, 0.500)
Ga (0.262, 0.738, 0.250)
Ga (0.738, 0.262, 0.750)
Ga (0.739, 0.739, 0.000)
Ga (0.739, 0.739, 0.500)
Ni (0.483, 0.517, 0.250)
Ni (0.517, 0.483, 0.750)
Os (0.028, 0.972, 0.250)
Os (0.972, 0.028, 0.750)

---

Entry 2:
Ba6P2PdBr3: relaxed, PBE.

For the density of states at the Fermi level, the calculation gives 6.8 states/eV/cell. The crystal system is monoclinic. The calculation puts the uncorrected formation energy at -16.69 eV per formula unit. For the total energy, the calculation gives -4.105 eV per atom.

Unit cell a=8.121 b=8.121 c=8.415 alpha=99.26 beta=99.26 gamma=120.00
Fractional coordinates of all 12 atoms:
Ba (0.088, 0.428, 0.784)
Ba (0.233, 0.233, 0.216)
Ba (0.428, 0.088, 0.784)
Ba (0.572, 0.912, 0.216)
Ba (0.767, 0.767, 0.784)
Ba (0.912, 0.572, 0.216)
P (0.166, 0.834, 0.000)
P (0.834, 0.166, 0.000)
Pd (0.500, 0.500, 0.000)
Br (0.000, 0.000, 0.500)
Br (0.331, 0.669, 0.500)
Br (0.669, 0.331, 0.500)

---

Entry 3:
TbPm2Nd2Dy2: relaxed, PBE.

For the density of states at the Fermi level, the calculation gives 16.6 states/eV/cell. The crystal system is trigonal. The formation energy comes out at 13 kJ per mole of atoms. For the total energy, the calculation gives -4.563 eV per atom.

Unit cell a=8.840 b=8.840 c=8.840 alpha=38.02 beta=38.02 gamma=38.02
Fractional coordinates of all 7 atoms:
Tb (0.000, 0.000, 0.000)
Pm (0.281, 0.281, 0.281)
Pm (0.719, 0.719, 0.719)
Nd (0.139, 0.139, 0.139)
Nd (0.861, 0.861, 0.861)
Dy (0.426, 0.426, 0.426)
Dy (0.574, 0.574, 0.574)